Crystalline Dy2YAlO at its relaxed geometry. Source: Alexandria via LeMat-Bulk, functional PBE-GGA.

The total DFT energy (no corrections) comes out at -31.2 eV per cell. The calculation puts the formation energy without anion corrections at -1.3704 eV/atom. For the size of the total moment, the calculation gives 0.00 Bohr magnetons per cell. As for the density of states at the Fermi level: 0.3474 states/eV per atom.

It has space group P4/mmm (No. 123), with a = 4.7211 Å, b = 4.7211 Å, c = 4.7486 Å, α = 90.00°, β = 90.00° and γ = 90.00°. The inequivalent atoms are Dy at (0.0000, 0.5000, 0.0000), Y at (0.0000, 0.0000, 0.5000), Al at (0.5000, 0.5000, 0.5000) and O at (0.0000, 0.0000, 0.0000).